1.
! Pu5PaAu6 (PBE, relaxed); values from VASP
&SYSTEM
  ibrav = 0, nat = 12, ntyp = 3
/
ATOMIC_SPECIES
Pa 231.04 Pa.upf
Pu 244.00 Pu.upf
Au 196.97 Au.upf
CELL_PARAMETERS angstrom
4.8949 0.0231 -1.4299
-1.0226 6.4903 -3.3772
-0.0687 0.3947 8.8553
ATOMIC_POSITIONS crystal
Pa 0.0000 0.0000 0.0000
Pu 0.3300 0.3300 0.6600
Au 0.8322 0.5779 0.6641
Au 0.8320 0.0862 0.6641
Au 0.5001 0.7394 0.0000
Au 0.1680 0.9138 0.3359
Pu 0.3422 0.8422 0.6844
Pu 0.0000 0.5000 0.0000
Au 0.1678 0.4221 0.3359
Pu 0.6700 0.6700 0.3400
Pu 0.6578 0.1578 0.3156
Au 0.4999 0.2606 0.0000
! **E_form**: -31.0 kJ per mole of atoms
! **SG**: No. 71
! **Crystal system**: orthorhombic


2.
! Li7Ag2Au3 (PBE, relaxed); values from VASP
&SYSTEM
  ibrav = 0, nat = 12, ntyp = 3
/
ATOMIC_SPECIES
Au 196.97 Au.upf
Li 6.94 Li.upf
Ag 107.87 Ag.upf
CELL_PARAMETERS angstrom
-2.1988 1.7720 0.2802
-2.0959 -2.0358 -3.5733
-5.8234 -9.0415 11.4828
ATOMIC_POSITIONS crystal
Au 0.5000 0.5000 0.0000
Li 0.5000 0.1166 0.2226
Ag 0.5000 0.6513 0.2941
Li 0.5000 0.8834 0.7774
Au 0.0000 0.1959 0.3863
Au 0.0000 0.8041 0.6137
Ag 0.5000 0.3487 0.7059
Li 0.0000 0.5765 0.1410
Li 0.5000 0.7307 0.4599
Li 0.5000 0.2693 0.5401
Li 0.0000 0.4235 0.8590
Li 0.0000 0.0000 0.0000
! **E_form**: -29.5 kJ per mole of atoms
! **SG**: No. 10
! **Crystal system**: monoclinic


3.
! SiAgHg2 (PBE, relaxed); values from VASP
&SYSTEM
  ibrav = 0, nat = 4, ntyp = 3
/
ATOMIC_SPECIES
Si 28.09 Si.upf
Ag 107.87 Ag.upf
Hg 200.59 Hg.upf
CELL_PARAMETERS angstrom
-3.5524 1.2725 -0.6961
-1.0200 -2.7837 0.1168
-1.1782 0.7396 7.3649
ATOMIC_POSITIONS crystal
Si 0.5000 0.2500 0.2500
Ag 0.5000 0.7500 0.7500
Hg 0.0000 0.2498 0.9904
Hg 0.0000 0.2502 0.5096
! **Uncorrected formation energy**: 31.6 kJ/mol of atoms
! **SG**: No. 47
! **Crystal system**: orthorhombic


4.
! InTeRh3 (PBE, relaxed); values from VASP
&SYSTEM
  ibrav = 0, nat = 5, ntyp = 3
/
ATOMIC_SPECIES
Rh 102.91 Rh.upf
In 114.82 In.upf
Te 127.60 Te.upf
CELL_PARAMETERS angstrom
4.8241 0.0000 0.0000
0.0000 4.8241 0.0000
0.0000 0.0000 4.8241
ATOMIC_POSITIONS crystal
Rh 0.0000 0.5000 0.0000
In 0.5000 0.5000 0.5000
Rh 0.5000 0.0000 0.0000
Te 0.0000 0.0000 0.0000
Rh 0.0000 0.0000 0.5000
! **Uncorrected formation energy**: 58.8 kJ/mol of atoms
! **SG**: No. 221
! **Offset from the most stable computed form**: 0 meV per atom
! **Crystal system**: cubic


5.
! LiPm2Lu (PBE, relaxed); values from VASP
&SYSTEM
  ibrav = 0, nat = 4, ntyp = 3
/
ATOMIC_SPECIES
Pm 145.00 Pm.upf
Lu 174.97 Lu.upf
Li 6.94 Li.upf
CELL_PARAMETERS angstrom
5.5234 0.0000 0.0000
2.7617 4.7834 0.0000
2.7617 1.5945 4.5098
ATOMIC_POSITIONS crystal
Pm 0.7500 0.7500 0.7500
Lu 0.0000 0.0000 0.0000
Pm 0.2500 0.2500 0.2500
Li 0.5000 0.5000 0.5000
! **E_form**: 13.7 kJ per mole of atoms
! **SG**: No. 225
! **Offset from the most stable computed form**: 34 meV per atom
! **Crystal system**: cubic


6.
! Y2PCl (PBE, relaxed); values from VASP
&SYSTEM
  ibrav = 0, nat = 4, ntyp = 3
/
ATOMIC_SPECIES
P 30.97 P.upf
Y 88.91 Y.upf
Cl 35.45 Cl.upf
CELL_PARAMETERS angstrom
3.9757 0.0000 0.0000
0.0000 3.9757 0.0000
0.0000 0.0000 5.5747
ATOMIC_POSITIONS crystal
P 0.5000 0.5000 0.8751
Y 0.5000 0.5000 0.3749
Y 0.0000 0.0000 0.8751
Cl 0.0000 0.0000 0.3749
! **Uncorrected formation energy**: -140.5 kJ/mol of atoms
! **SG**: No. 123
! **Crystal system**: tetragonal


7.
! Nd3Ge2Pd7 (PBE, relaxed); values from VASP
&SYSTEM
  ibrav = 0, nat = 12, ntyp = 3
/
ATOMIC_SPECIES
Ge 72.64 Ge.upf
Nd 144.24 Nd.upf
Pd 106.42 Pd.upf
CELL_PARAMETERS angstrom
-1.2083 -3.8745 -0.7662
3.5998 -1.4101 1.4532
-6.6902 1.8216 12.4705
ATOMIC_POSITIONS crystal
Ge 0.1285 0.1285 0.2571
Nd 0.3263 0.3263 0.6527
Ge 0.8715 0.8715 0.7429
Pd 0.5784 0.0784 0.1568
Pd 0.7800 0.7800 0.5600
Pd 0.2200 0.2200 0.4400
Nd 0.5000 0.5000 0.0000
Pd 0.4216 0.9216 0.8432
Pd 0.0000 0.0000 0.0000
Pd 0.0784 0.5784 0.1568
Nd 0.6737 0.6737 0.3473
Pd 0.9216 0.4216 0.8432
! **E_form**: -73.2 kJ per mole of atoms
! **SG**: No. 139
! **Offset from the most stable computed form**: 0 meV per atom
! **Crystal system**: tetragonal


8.
! TmGa6S8 (PBE, relaxed); values from VASP
&SYSTEM
  ibrav = 0, nat = 15, ntyp = 3
/
ATOMIC_SPECIES
S 32.06 S.upf
Ga 69.72 Ga.upf
Tm 168.93 Tm.upf
CELL_PARAMETERS angstrom
6.8243 -0.1542 -0.1592
-0.3669 6.8162 -0.1592
-0.3669 -0.3786 6.8075
ATOMIC_POSITIONS crystal
S 0.2647 0.2647 0.2647
S 0.7353 0.7353 0.7353
S 0.6417 0.9332 0.1993
S 0.3583 0.0668 0.8007
Ga 0.2624 0.3217 0.6167
Ga 0.6167 0.2624 0.3217
Tm 0.0000 0.0000 0.0000
S 0.9332 0.1993 0.6417
Ga 0.3833 0.7376 0.6783
S 0.0668 0.8007 0.3583
Ga 0.7376 0.6783 0.3833
Ga 0.6783 0.3833 0.7376
Ga 0.3217 0.6167 0.2624
S 0.8007 0.3583 0.0668
S 0.1993 0.6417 0.9332
! **Uncorrected formation energy**: -50.8 kJ/mol of atoms
! **SG**: No. 148
! **Crystal system**: trigonal